Material: HoLuMgPt
Method: DFT, PBE
State: relaxed

Structure (CIF):
```
data_HoLuMgPt
_cell_length_a 5.019
_cell_length_b 5.019
_cell_length_c 5.019
_cell_angle_alpha 60.00
_cell_angle_beta 60.00
_cell_angle_gamma 60.00
_symmetry_space_group_name_H-M 'P 1'
_symmetry_Int_Tables_number 1
loop_
_symmetry_equiv_pos_as_xyz
'x,y,z'
loop_
_atom_site_label
_atom_site_type_symbol
_atom_site_fract_x
_atom_site_fract_y
_atom_site_fract_z
Ho1 Ho 0.000 0.000 0.000
Lu1 Lu 0.500 0.500 0.500
Mg1 Mg 0.750 0.750 0.750
Pt1 Pt 0.250 0.250 0.250
```

Properties
- M_tot: 0.0001 μB per atom

Material: HoLuPuMg
Method: DFT, PBE
State: relaxed

Structure (CIF):
```
data_HoLuPuMg
_cell_length_a 5.400
_cell_length_b 5.400
_cell_length_c 5.400
_cell_angle_alpha 60.00
_cell_angle_beta 60.00
_cell_angle_gamma 60.00
_symmetry_space_group_name_H-M 'P 1'
_symmetry_Int_Tables_number 1
loop_
_symmetry_equiv_pos_as_xyz
'x,y,z'
loop_
_atom_site_label
_atom_site_type_symbol
_atom_site_fract_x
_atom_site_fract_y
_atom_site_fract_z
Ho1 Ho 0.000 0.000 0.000
Lu1 Lu 0.500 0.500 0.500
Pu1 Pu 0.250 0.250 0.250
Mg1 Mg 0.750 0.750 0.750
```

Properties
- M_tot: 1.5669 μB per atom

Material: HoLuMgRe
Method: DFT, PBE
State: relaxed

Structure (CIF):
```
data_HoLuMgRe
_cell_length_a 4.960
_cell_length_b 4.960
_cell_length_c 4.960
_cell_angle_alpha 60.00
_cell_angle_beta 60.00
_cell_angle_gamma 60.00
_symmetry_space_group_name_H-M 'P 1'
_symmetry_Int_Tables_number 1
loop_
_symmetry_equiv_pos_as_xyz
'x,y,z'
loop_
_atom_site_label
_atom_site_type_symbol
_atom_site_fract_x
_atom_site_fract_y
_atom_site_fract_z
Ho1 Ho 0.000 0.000 0.000
Lu1 Lu 0.500 0.500 0.500
Mg1 Mg 0.750 0.750 0.750
Re1 Re 0.250 0.250 0.250
```

Properties
- M_tot: 0.0000 μB per atom

Material: HoLuMgSn
Method: DFT, PBE
State: relaxed

Structure (CIF):
```
data_HoLuMgSn
_cell_length_a 5.241
_cell_length_b 5.241
_cell_length_c 5.241
_cell_angle_alpha 60.00
_cell_angle_beta 60.00
_cell_angle_gamma 60.00
_symmetry_space_group_name_H-M 'P 1'
_symmetry_Int_Tables_number 1
loop_
_symmetry_equiv_pos_as_xyz
'x,y,z'
loop_
_atom_site_label
_atom_site_type_symbol
_atom_site_fract_x
_atom_site_fract_y
_atom_site_fract_z
Ho1 Ho 0.000 0.000 0.000
Lu1 Lu 0.500 0.500 0.500
Mg1 Mg 0.750 0.750 0.750
Sn1 Sn 0.250 0.250 0.250
```

Properties
- M_tot: 0.0000 μB per atom

Number 1: formation energy from the elements -0.63 eV per atom, density 10.4 Mg/m³. Number 2: formation energy from the elements 0.15 eV per atom, density 9.1 Mg/m³. Number 3: formation energy from the elements 0.05 eV per atom, density 10.6 Mg/m³. Number 4: formation energy from the elements -0.35 eV per atom, density 7.9 Mg/m³.